The following is a PBE with a Hubbard U calculation of an optimized crystal structure of AsWIO2, from Alexandria. Values from VASP.

Symmetry: P4/mmm (123)
Magnetic moment in μB per formula unit: 4.819
ΔE to the lowest computed polymorph in meV per atom: 915

Cell and atoms, written as Quantum ESPRESSO input:
```
&SYSTEM
  ibrav = 0, nat = 5, ntyp = 4
/
ATOMIC_SPECIES
As 74.92 As.upf
W 183.84 W.upf
I 126.90 I.upf
O 16.00 O.upf
CELL_PARAMETERS angstrom
4.005 0.000 0.000
0.000 4.005 0.000
0.000 0.000 6.247
ATOMIC_POSITIONS crystal
As 0.000 0.000 0.000
W 0.500 0.500 0.500
I 0.000 0.000 0.500
O 0.000 0.500 0.000
O 0.500 0.000 0.000
```